(1)
An optimized crystal structure of LiLuCuTe3. Source: OQMD via LeMat-Bulk, functional PBE.

Summary:
DFT total energy, eV per atom: -4.05
Total moment, μB/f.u.: 0.003

a = 10.938 Å, b = 4.012 Å, c = 14.313 Å
α = 90.00°, β = 90.00°, γ = 90.00°
Fractional positions:
Li1 0.233 0.250 0.034
Li2 0.267 0.750 0.534
Li3 0.733 0.250 0.466
Li4 0.767 0.750 0.966
Lu1 0.012 0.750 0.747
Lu2 0.488 0.250 0.247
Lu3 0.512 0.750 0.753
Lu4 0.988 0.250 0.253
Cu1 0.240 0.750 0.226
Cu2 0.260 0.250 0.726
Cu3 0.740 0.750 0.274
Cu4 0.760 0.250 0.774
Te1 0.059 0.750 0.107
Te2 0.083 0.250 0.602
Te3 0.240 0.250 0.345
Te4 0.260 0.750 0.845
Te5 0.417 0.750 0.102
Te6 0.441 0.250 0.607
Te7 0.559 0.750 0.393
Te8 0.583 0.250 0.898
Te9 0.740 0.250 0.155
Te10 0.760 0.750 0.655
Te11 0.917 0.750 0.398
Te12 0.941 0.250 0.893

(2)
An optimized crystal structure of ScUBi. Source: OQMD via LeMat-Bulk, functional PBE.

Summary:
DFT total energy, eV per atom: -6.47
Total moment, μB/f.u.: 5.517

a = 5.170 Å, b = 5.170 Å, c = 5.170 Å
α = 60.00°, β = 60.00°, γ = 60.00°
Fractional positions:
Sc1 0.000 0.000 0.000
U1 0.750 0.750 0.750
Bi1 0.500 0.500 0.500

(3)
An optimized crystal structure of La21Fe8Sb7C12. Source: OQMD via LeMat-Bulk, functional PBE.

Summary:
DFT total energy, eV per atom: -6.97
Total moment, μB/f.u.: 4.077

a = 11.624 Å, b = 11.624 Å, c = 11.624 Å
α = 60.00°, β = 60.00°, γ = 60.00°
Fractional positions:
La1 0.000 0.000 0.000
La2 0.000 0.000 0.344
La3 0.000 0.000 0.656
La4 0.000 0.344 0.000
La5 0.000 0.344 0.656
La6 0.000 0.656 0.000
La7 0.000 0.656 0.344
La8 0.102 0.633 0.633
La9 0.344 0.000 0.000
La10 0.344 0.000 0.656
La11 0.344 0.656 0.000
La12 0.367 0.367 0.367
La13 0.367 0.367 0.898
La14 0.367 0.898 0.367
La15 0.633 0.102 0.633
La16 0.633 0.633 0.102
La17 0.633 0.633 0.633
La18 0.656 0.000 0.000
La19 0.656 0.000 0.344
La20 0.656 0.344 0.000
La21 0.898 0.367 0.367
Fe1 0.197 0.197 0.197
Fe2 0.197 0.197 0.410
Fe3 0.197 0.410 0.197
Fe4 0.410 0.197 0.197
Fe5 0.590 0.803 0.803
Fe6 0.803 0.590 0.803
Fe7 0.803 0.803 0.590
Fe8 0.803 0.803 0.803
Sb1 0.274 0.274 0.726
Sb2 0.274 0.726 0.274
Sb3 0.274 0.726 0.726
Sb4 0.500 0.500 0.500
Sb5 0.726 0.274 0.274
Sb6 0.726 0.274 0.726
Sb7 0.726 0.726 0.274
C1 0.110 0.110 0.390
C2 0.110 0.390 0.110
C3 0.110 0.390 0.390
C4 0.390 0.110 0.110
C5 0.390 0.110 0.390
C6 0.390 0.390 0.110
C7 0.610 0.610 0.890
C8 0.610 0.890 0.610
C9 0.610 0.890 0.890
C10 0.890 0.610 0.610
C11 0.890 0.610 0.890
C12 0.890 0.890 0.610

(4)
An optimized crystal structure of CuAsS2. Source: OQMD via LeMat-Bulk, functional PBE.

Summary:
DFT total energy, eV per atom: -4.20

a = 6.026 Å, b = 6.026 Å, c = 6.026 Å
α = 40.57°, β = 40.57°, γ = 40.57°
Fractional positions:
Cu1 0.000 0.000 0.000
As1 0.502 0.502 0.502
S1 0.139 0.139 0.139
S2 0.637 0.637 0.637

(5)
An optimized crystal structure of Ba2FeTe3. Source: OQMD via LeMat-Bulk, functional PBE.

Summary:
DFT total energy, eV per atom: -4.70
Total moment, μB/f.u.: 4.005

a = 9.637 Å, b = 4.764 Å, c = 18.986 Å
α = 90.00°, β = 90.00°, γ = 90.00°
Fractional positions:
Ba1 0.091 0.250 0.210
Ba2 0.240 0.750 0.455
Ba3 0.260 0.250 0.955
Ba4 0.409 0.750 0.710
Ba5 0.591 0.250 0.290
Ba6 0.740 0.750 0.045
Ba7 0.760 0.250 0.545
Ba8 0.909 0.750 0.790
Fe1 0.134 0.250 0.636
Fe2 0.366 0.750 0.136
Fe3 0.634 0.250 0.864
Fe4 0.866 0.750 0.364
Te1 0.010 0.750 0.605
Te2 0.126 0.750 0.069
Te3 0.176 0.250 0.774
Te4 0.324 0.750 0.274
Te5 0.374 0.250 0.569
Te6 0.490 0.250 0.105
Te7 0.510 0.750 0.895
Te8 0.626 0.750 0.431
Te9 0.676 0.250 0.726
Te10 0.824 0.750 0.226
Te11 0.874 0.250 0.931
Te12 0.990 0.250 0.395

(6)
An optimized crystal structure of ZrTl2ZnCl6. Source: OQMD via LeMat-Bulk, functional PBE.

Summary:
DFT total energy, eV per atom: -3.70
Total moment, μB/f.u.: 0.001

a = 7.771 Å, b = 7.771 Å, c = 7.771 Å
α = 60.00°, β = 60.00°, γ = 60.00°
Fractional positions:
Zr1 0.000 0.000 0.000
Tl1 0.250 0.250 0.250
Tl2 0.750 0.750 0.750
Zn1 0.500 0.500 0.500
Cl1 0.226 0.226 0.774
Cl2 0.226 0.774 0.226
Cl3 0.226 0.774 0.774
Cl4 0.774 0.226 0.226
Cl5 0.774 0.226 0.774
Cl6 0.774 0.774 0.226

(7)
An optimized crystal structure of UCuMo. Source: OQMD via LeMat-Bulk, functional PBE.

Summary:
ΔE to the lowest computed polymorph, eV per atom: 0.672
Total moment, μB/f.u.: 0.299
Energy of formation from the pure elements, kJ per mole of atoms: 140.6

a = 4.362 Å, b = 4.362 Å, c = 4.362 Å
α = 60.00°, β = 60.00°, γ = 60.00°
Fractional positions:
U1 0.000 0.000 0.000
Cu1 0.750 0.750 0.750
Mo1 0.250 0.250 0.250

(8)
An optimized crystal structure of NaRe3Ge5. Source: OQMD via LeMat-Bulk, functional PBE.

Summary:
DFT total energy, eV per atom: -6.60
Total moment, μB/f.u.: 0.003

a = 5.234 Å, b = 5.234 Å, c = 7.790 Å
α = 90.00°, β = 90.00°, γ = 120.00°
Fractional positions:
Na1 0.000 0.000 0.000
Re1 0.000 0.500 0.500
Re2 0.500 0.000 0.500
Re3 0.500 0.500 0.500
Ge1 0.000 0.000 0.500
Ge2 0.333 0.667 0.208
Ge3 0.333 0.667 0.792
Ge4 0.667 0.333 0.208
Ge5 0.667 0.333 0.792

What is the formula in the first record?
LiLuCuTe3